# ScWN2F, relaxed, DFT PBE with a Hubbard U
# E above lowest polymorph (eV per atom): 0.000
data_ScWN2F
_space_group_name_H-M_alt 'P 4/m m m'
_space_group_IT_number 123
_space_group_name_Hall '-P 4 2'
_cell_length_a 4.073
_cell_length_b 4.073
_cell_length_c 4.017
_cell_angle_alpha 90.00
_cell_angle_beta 90.00
_cell_angle_gamma 90.00
loop_
_atom_site_label
_atom_site_fract_x
_atom_site_fract_y
_atom_site_fract_z
Sc1 0.000 0.000 0.000
W1 0.500 0.500 0.500
N1 0.000 0.500 0.500
F1 0.500 0.500 0.000